Record 1
Material: Tb3Sm3In
Method: DFT, PBE-GGA
State: relaxed

abc: 5.6212 9.4740 9.4732
angles: 120.06 90.00 90.00
Atoms (fractional coordinates):
Sm  0.2500  0.1057  0.4778
Sm  0.7500  0.4783  0.3720
Sm  0.7500  0.6283  0.1058
Sm  0.7500  0.8943  0.5222
Sm  0.2500  0.5217  0.6280
Sm  0.2500  0.3717  0.8942
Tb  0.7500  0.0623  0.2411
Tb  0.7500  0.1789  0.9383
Tb  0.2500  0.2408  0.1790
Tb  0.7500  0.7592  0.8210
Tb  0.2500  0.8211  0.0617
Tb  0.2500  0.9377  0.7589
In  0.7500  0.3333  0.6670
In  0.2500  0.6667  0.3330

Calculated values
The calculation puts the energy above the lowest structure with this stoichiometry at 0 kJ/mol of formula units. As for the size of the total moment: 0.00 μB/f.u. The density of states at the Fermi level comes out at 1.3388 states/eV/atom. The value obtained for the formation energy is -10.5 kJ/mol of atoms. Its space group is P2_1/m, No. 11.

Record 2
Material: Tb7SmIn4
Method: DFT, PBE-GGA
State: relaxed

abc: 5.6812 9.3202 7.8015
angles: 75.47 68.65 72.26
Atoms (fractional coordinates):
Tb  0.0633  0.6050  0.2683
Tb  0.2098  0.1228  0.4576
Tb  0.9367  0.3950  0.7317
Tb  0.5000  0.0000  0.0000
Tb  0.7180  0.3425  0.2216
Tb  0.7902  0.8772  0.5424
Tb  0.2820  0.6575  0.7784
In  0.6816  0.6667  0.9701
In  0.4398  0.7578  0.3627
In  0.5602  0.2422  0.6373
In  0.3184  0.3333  0.0299
Sm  0.0000  0.0000  0.0000

Calculated values
As for the size of the total moment: 0.00 μB/f.u. The density of states at the Fermi level comes out at 1.0989 states/eV/atom. The value obtained for the formation energy is -10.7 kJ/mol of atoms. Its space group is C2/m, No. 12.